No. 1
Material: Er8Ru5N
Method: DFT, PBE
State: optimized geometry

Output
Raw formation energy   -375 meV/atom
Space group   I-4, No. 82
Calculated volume   291.2 Å³/cell
VASP energy   -6.890 eV per atom

CIF file:
```
data_Er8Ru5N
_cell_length_a 7.239
_cell_length_b 7.239
_cell_length_c 7.239
_cell_angle_alpha 111.27
_cell_angle_beta 111.27
_cell_angle_gamma 105.94
_symmetry_space_group_name_H-M 'P 1'
_symmetry_Int_Tables_number 1
loop_
_symmetry_equiv_pos_as_xyz
'x,y,z'
loop_
_atom_site_label
_atom_site_fract_x
_atom_site_fract_y
_atom_site_fract_z
Er1 0.271 0.520 0.625
Er2 0.354 0.729 0.249
Er3 0.434 0.270 0.280
Er4 0.480 0.105 0.751
Er5 0.730 0.010 0.164
Er6 0.846 0.566 0.836
Er7 0.895 0.646 0.375
Er8 0.990 0.154 0.720
Ru1 0.001 0.322 0.121
Ru2 0.121 0.999 0.321
Ru3 0.201 0.879 0.879
Ru4 0.500 0.500 0.000
Ru5 0.678 0.799 0.679
N1 0.750 0.250 0.500
```

=====

No. 2
Material: PuBiBr2
Method: DFT, PBE
State: optimized geometry

Output
Raw formation energy   -785 meV/atom
Space group   R-3m, No. 166
Calculated volume   404.1 Å³/cell
VASP energy   -6.175 eV per atom

CIF file:
```
data_PuBiBr2
_cell_length_a 3.675
_cell_length_b 3.675
_cell_length_c 34.553
_cell_angle_alpha 90.00
_cell_angle_beta 90.00
_cell_angle_gamma 120.00
_symmetry_space_group_name_H-M 'P 1'
_symmetry_Int_Tables_number 1
loop_
_symmetry_equiv_pos_as_xyz
'x,y,z'
loop_
_atom_site_label
_atom_site_fract_x
_atom_site_fract_y
_atom_site_fract_z
Pu1 0.000 0.000 0.000
Pu2 0.333 0.667 0.667
Pu3 0.667 0.333 0.333
Bi1 0.000 0.000 0.500
Bi2 0.333 0.667 0.167
Bi3 0.667 0.333 0.833
Br1 0.000 0.000 0.392
Br2 0.000 0.000 0.608
Br3 0.333 0.667 0.059
Br4 0.333 0.667 0.275
Br5 0.667 0.333 0.725
Br6 0.667 0.333 0.941
```

=====

No. 3
Material: Y5Be3
Method: DFT, PBE
State: optimized geometry

Output
Space group   Cmmm, No. 65
Distance to the lowest polymorph of the same formula   60 kJ/mol of formula units
Calculated volume   371.8 Å³/cell
VASP energy   -5.202 eV per atom
ΔH_f (0 K)   235 meV per atom

CIF file:
```
data_Y5Be3
_cell_length_a 7.762
_cell_length_b 10.027
_cell_length_c 4.778
_cell_angle_alpha 90.00
_cell_angle_beta 90.00
_cell_angle_gamma 90.00
_symmetry_space_group_name_H-M 'P 1'
_symmetry_Int_Tables_number 1
loop_
_symmetry_equiv_pos_as_xyz
'x,y,z'
loop_
_atom_site_label
_atom_site_fract_x
_atom_site_fract_y
_atom_site_fract_z
Y1 0.000 0.000 0.000
Y2 0.205 0.500 0.500
Y3 0.250 0.250 0.000
Y4 0.250 0.750 0.000
Y5 0.295 0.000 0.500
Y6 0.500 0.500 0.000
Y7 0.705 0.000 0.500
Y8 0.750 0.250 0.000
Y9 0.750 0.750 0.000
Y10 0.795 0.500 0.500
Be1 0.000 0.206 0.500
Be2 0.000 0.500 0.000
Be3 0.000 0.794 0.500
Be4 0.500 0.000 0.000
Be5 0.500 0.294 0.500
Be6 0.500 0.706 0.500
```

=====

No. 4
Material: Ac4CdPb
Method: DFT, PBE
State: optimized geometry

Output
Space group   P4/mmm, No. 123
Calculated volume   255.6 Å³/cell
VASP energy   -3.611 eV per atom
ΔH_f (0 K)   -101 meV per atom

CIF file:
```
data_Ac4CdPb
_cell_length_a 5.639
_cell_length_b 5.639
_cell_length_c 8.040
_cell_angle_alpha 90.00
_cell_angle_beta 90.00
_cell_angle_gamma 90.00
_symmetry_space_group_name_H-M 'P 1'
_symmetry_Int_Tables_number 1
loop_
_symmetry_equiv_pos_as_xyz
'x,y,z'
loop_
_atom_site_label
_atom_site_fract_x
_atom_site_fract_y
_atom_site_fract_z
Ac1 0.000 0.500 0.241
Ac2 0.000 0.500 0.759
Ac3 0.500 0.000 0.241
Ac4 0.500 0.000 0.759
Cd1 0.000 0.000 0.000
Pb1 0.500 0.500 0.500
```

=====

No. 5
Material: ThCo3P
Method: DFT, PBE
State: optimized geometry

Output
Space group   Cmmm, No. 65
Calculated volume   155.6 Å³/cell
VASP energy   -7.179 eV per atom
ΔH_f (0 K)   -349 meV per atom

CIF file:
```
data_ThCo3P
_cell_length_a 5.456
_cell_length_b 6.718
_cell_length_c 4.246
_cell_angle_alpha 90.00
_cell_angle_beta 90.00
_cell_angle_gamma 90.00
_symmetry_space_group_name_H-M 'P 1'
_symmetry_Int_Tables_number 1
loop_
_symmetry_equiv_pos_as_xyz
'x,y,z'
loop_
_atom_site_label
_atom_site_fract_x
_atom_site_fract_y
_atom_site_fract_z
Th1 0.000 0.000 0.000
Th2 0.500 0.500 0.000
Co1 0.000 0.500 0.000
Co2 0.250 0.250 0.500
Co3 0.250 0.750 0.500
Co4 0.500 0.000 0.000
Co5 0.750 0.250 0.500
Co6 0.750 0.750 0.500
P1 0.000 0.500 0.500
P2 0.500 0.000 0.500
```

=====

No. 6
Material: NdRe3N8
Method: DFT, PBE
State: optimized geometry

Output
Raw formation energy   23 meV/atom
Space group   P-3m1, No. 164
Calculated volume   185.4 Å³/cell
VASP energy   -9.037 eV per atom

CIF file:
```
data_NdRe3N8
_cell_length_a 5.719
_cell_length_b 5.719
_cell_length_c 6.545
_cell_angle_alpha 90.00
_cell_angle_beta 90.00
_cell_angle_gamma 120.00
_symmetry_space_group_name_H-M 'P 1'
_symmetry_Int_Tables_number 1
loop_
_symmetry_equiv_pos_as_xyz
'x,y,z'
loop_
_atom_site_label
_atom_site_fract_x
_atom_site_fract_y
_atom_site_fract_z
Nd1 0.000 0.000 0.000
Re1 0.000 0.000 0.500
Re2 0.333 0.667 0.771
Re3 0.667 0.333 0.229
N1 0.157 0.313 0.684
N2 0.157 0.843 0.684
N3 0.313 0.157 0.316
N4 0.333 0.667 0.039
N5 0.667 0.333 0.961
N6 0.687 0.843 0.684
N7 0.843 0.157 0.316
N8 0.843 0.687 0.316
```

=====

No. 7
Material: AgMo2As
Method: DFT, PBE
State: optimized geometry

Output
Space group   I-4m2, No. 119
Calculated volume   128.7 Å³/cell
VASP energy   -6.828 eV per atom
ΔH_f (0 K)   463 meV per atom

CIF file:
```
data_AgMo2As
_cell_length_a 3.997
_cell_length_b 3.997
_cell_length_c 8.054
_cell_angle_alpha 90.00
_cell_angle_beta 90.00
_cell_angle_gamma 90.00
_symmetry_space_group_name_H-M 'P 1'
_symmetry_Int_Tables_number 1
loop_
_symmetry_equiv_pos_as_xyz
'x,y,z'
loop_
_atom_site_label
_atom_site_fract_x
_atom_site_fract_y
_atom_site_fract_z
Ag1 0.000 0.000 0.000
Ag2 0.500 0.500 0.500
Mo1 0.000 0.000 0.500
Mo2 0.000 0.500 0.250
Mo3 0.500 0.000 0.750
Mo4 0.500 0.500 0.000
As1 0.000 0.500 0.750
As2 0.500 0.000 0.250
```

=====

No. 8
Material: SrNiIr
Method: DFT, PBE
State: optimized geometry

Output
Space group   Imm2, No. 44
Distance to the lowest polymorph of the same formula   86 kJ/mol of formula units
Calculated volume   119.1 Å³/cell
VASP energy   -5.320 eV per atom
ΔH_f (0 K)   121 meV per atom

CIF file:
```
data_SrNiIr
_cell_length_a 3.021
_cell_length_b 3.768
_cell_length_c 10.457
_cell_angle_alpha 90.00
_cell_angle_beta 90.00
_cell_angle_gamma 90.00
_symmetry_space_group_name_H-M 'P 1'
_symmetry_Int_Tables_number 1
loop_
_symmetry_equiv_pos_as_xyz
'x,y,z'
loop_
_atom_site_label
_atom_site_fract_x
_atom_site_fract_y
_atom_site_fract_z
Sr1 0.000 0.000 0.000
Sr2 0.500 0.500 0.500
Ni1 0.000 0.000 0.276
Ni2 0.500 0.500 0.776
Ir1 0.000 0.000 0.714
Ir2 0.500 0.500 0.214
```

=====

No. 9
Material: LiYTmCr
Method: DFT, PBE
State: optimized geometry

Output
Space group   F-43m, No. 216
Calculated volume   365.1 Å³/cell
VASP energy   -5.450 eV per atom
ΔH_f (0 K)   168 meV per atom

CIF file:
```
data_LiYTmCr
_cell_length_a 7.147
_cell_length_b 7.147
_cell_length_c 7.147
_cell_angle_alpha 90.00
_cell_angle_beta 90.00
_cell_angle_gamma 90.00
_symmetry_space_group_name_H-M 'P 1'
_symmetry_Int_Tables_number 1
loop_
_symmetry_equiv_pos_as_xyz
'x,y,z'
loop_
_atom_site_label
_atom_site_fract_x
_atom_site_fract_y
_atom_site_fract_z
Li1 0.000 0.000 0.000
Li2 0.000 0.500 0.500
Li3 0.500 0.000 0.500
Li4 0.500 0.500 0.000
Y1 0.250 0.250 0.750
Y2 0.250 0.750 0.250
Y3 0.750 0.250 0.250
Y4 0.750 0.750 0.750
Tm1 0.250 0.250 0.250
Tm2 0.250 0.750 0.750
Tm3 0.750 0.250 0.750
Tm4 0.750 0.750 0.250
Cr1 0.000 0.000 0.500
Cr2 0.000 0.500 0.000
Cr3 0.500 0.000 0.000
Cr4 0.500 0.500 0.500
```

=====

No. 10
Material: KCa3Mg
Method: DFT, PBE
State: optimized geometry

Output
Space group   Pm-3m, No. 221
Distance to the lowest polymorph of the same formula   322 kJ/mol of formula units
Calculated volume   261.0 Å³/cell
VASP energy   -0.820 eV per atom
ΔH_f (0 K)   919 meV per atom

CIF file:
```
data_KCa3Mg
_cell_length_a 6.391
_cell_length_b 6.391
_cell_length_c 6.391
_cell_angle_alpha 90.00
_cell_angle_beta 90.00
_cell_angle_gamma 90.00
_symmetry_space_group_name_H-M 'P 1'
_symmetry_Int_Tables_number 1
loop_
_symmetry_equiv_pos_as_xyz
'x,y,z'
loop_
_atom_site_label
_atom_site_fract_x
_atom_site_fract_y
_atom_site_fract_z
K1 0.000 0.000 0.000
Ca1 0.000 0.000 0.500
Ca2 0.000 0.500 0.000
Ca3 0.500 0.000 0.000
Mg1 0.500 0.500 0.500
```